Na2UMnO6: relaxed, GGA+U.

The structure belongs to space group C2/m (No. 12); the cell edges are 9.590, 5.632 and 5.575 Å and the angles 90.00°, 125.16° and 90.00°. The asymmetric unit holds Na at (0.250, 0.000, 0.238), U at (0.000, 0.000, 0.500), Mn at (0.000, 0.500, 0.000), O at (0.041, 0.258, 0.801) and O at (0.242, 0.500, 0.320).

The total energy comes out at -146.585 eV for the cell shown. As for the volume: 12.3 Å³/atom.